NdTh2Co: optimized geometry, GGA-PBE.

a = 3.7225 Å, b = 9.8188 Å, c = 6.2655 Å
α = 90.00°, β = 107.28°, γ = 90.00°
Fractional coordinates of all 8 atoms:
Nd (0.0862, 0.2500, 0.1739)
Nd (0.9138, 0.7500, 0.8261)
Th (0.3609, 0.0670, 0.7214)
Th (0.3609, 0.4330, 0.7214)
Th (0.6391, 0.5670, 0.2786)
Th (0.6391, 0.9330, 0.2786)
Co (0.1978, 0.7500, 0.3950)
Co (0.8022, 0.2500, 0.6050)

* energy of formation: -0.163 eV per atom
* energy above the most stable polymorph in this dataset: 0.0000 eV/atom

BaZnNi2: optimized geometry, GGA-PBE.

a = 4.7107 Å, b = 4.1157 Å, c = 4.8936 Å
α = 90.00°, β = 91.88°, γ = 90.00°
Fractional coordinates of all 4 atoms:
Ba (0.0000, 0.0000, 0.0000)
Zn (0.5000, 0.0000, 0.5000)
Ni (0.2418, 0.5000, 0.5320)
Ni (0.7582, 0.5000, 0.4680)

* energy of formation: 0.091 eV per atom

LaCeNd6: optimized geometry, GGA-PBE.

a = 5.1864 Å, b = 5.1864 Å, c = 10.3614 Å
α = 90.00°, β = 90.00°, γ = 90.00°
Fractional coordinates of all 8 atoms:
La (0.0000, 0.0000, 0.0000)
Ce (0.0000, 0.0000, 0.5000)
Nd (0.0000, 0.5000, 0.2557)
Nd (0.0000, 0.5000, 0.7443)
Nd (0.5000, 0.0000, 0.2557)
Nd (0.5000, 0.0000, 0.7443)
Nd (0.5000, 0.5000, 0.0000)
Nd (0.5000, 0.5000, 0.5000)

* energy of formation: 0.045 eV per atom
* energy above the most stable polymorph in this dataset: 0.0000 eV/atom

TcSbTe2N: optimized geometry, GGA-PBE.

a = 4.6195 Å, b = 4.6195 Å, c = 4.6332 Å
α = 90.00°, β = 90.00°, γ = 90.00°
Fractional coordinates of all 5 atoms:
Tc (0.0000, 0.0000, 0.0000)
Sb (0.5000, 0.5000, 0.0000)
Te (0.0000, 0.5000, 0.5000)
Te (0.5000, 0.0000, 0.5000)
N (0.5000, 0.5000, 0.5000)

* ΔE_f (raw): 1.026 eV/atom
* energy above the most stable polymorph in this dataset: 0.7639 eV/atom

Pr2Be3GaPt4: optimized geometry, GGA-PBE.

a = 4.1416 Å, b = 4.1416 Å, c = 9.9647 Å
α = 90.00°, β = 90.00°, γ = 90.00°
Fractional coordinates of all 10 atoms:
Pr (0.0000, 0.5000, 0.2443)
Pr (0.5000, 0.0000, 0.7557)
Be (0.0000, 0.5000, 0.8840)
Be (0.5000, 0.0000, 0.1160)
Be (0.5000, 0.5000, 0.5000)
Ga (0.0000, 0.0000, 0.5000)
Pt (0.0000, 0.0000, 0.0000)
Pt (0.0000, 0.5000, 0.6414)
Pt (0.5000, 0.0000, 0.3586)
Pt (0.5000, 0.5000, 0.0000)

* energy of formation: -0.863 eV per atom

LiMgPtAu: optimized geometry, GGA-PBE.

a = 4.6974 Å, b = 4.6974 Å, c = 4.6974 Å
α = 128.10°, β = 128.10°, γ = 76.47°
Fractional coordinates of all 4 atoms:
Li (0.0000, 0.0000, 0.0000)
Mg (0.5000, 0.5000, 0.0000)
Pt (0.7500, 0.2500, 0.5000)
Au (0.2500, 0.7500, 0.5000)

* energy of formation: -0.661 eV per atom

Ti3AsPd: optimized geometry, GGA-PBE.

a = 4.6345 Å, b = 4.6345 Å, c = 4.6345 Å
α = 90.00°, β = 90.00°, γ = 90.00°
Fractional coordinates of all 5 atoms:
Ti (0.0000, 0.0000, 0.5000)
Ti (0.0000, 0.5000, 0.0000)
Ti (0.5000, 0.0000, 0.0000)
As (0.0000, 0.0000, 0.0000)
Pd (0.5000, 0.5000, 0.5000)

* energy of formation: 0.143 eV per atom
* energy above the most stable polymorph in this dataset: 0.0000 eV/atom

AcHgAsAu: optimized geometry, GGA-PBE.

a = 5.2833 Å, b = 5.2833 Å, c = 5.2833 Å
α = 60.00°, β = 60.00°, γ = 60.00°
Fractional coordinates of all 4 atoms:
Ac (0.0000, 0.0000, 0.0000)
Hg (0.5000, 0.5000, 0.5000)
As (0.2500, 0.2500, 0.2500)
Au (0.7500, 0.7500, 0.7500)

* energy of formation: -0.560 eV per atom

FeCoTcW: optimized geometry, GGA-PBE.

a = 4.2514 Å, b = 4.2514 Å, c = 4.2514 Å
α = 60.00°, β = 60.00°, γ = 60.00°
Fractional coordinates of all 4 atoms:
Fe (0.0000, 0.0000, 0.0000)
Co (0.2500, 0.2500, 0.2500)
Tc (0.7500, 0.7500, 0.7500)
W (0.5000, 0.5000, 0.5000)

* energy of formation: 0.149 eV per atom

AgRhAu2: optimized geometry, GGA-PBE.

a = 2.8436 Å, b = 2.8436 Å, c = 8.4047 Å
α = 90.00°, β = 90.00°, γ = 90.00°
Fractional coordinates of all 4 atoms:
Ag (0.0000, 0.0000, 0.0000)
Rh (0.5000, 0.5000, 0.7585)
Au (0.0000, 0.0000, 0.5195)
Au (0.5000, 0.5000, 0.2571)

* energy of formation: 0.137 eV per atom
* energy above the most stable polymorph in this dataset: 0.0563 eV/atom

Pu5US6: optimized geometry, GGA-PBE.

a = 6.8392 Å, b = 6.8392 Å, c = 6.8381 Å
α = 99.61°, β = 99.61°, γ = 119.98°
Fractional coordinates of all 12 atoms:
Pu (0.0000, 0.0000, 0.0000)
Pu (0.1665, 0.8335, 0.5000)
Pu (0.3322, 0.6678, 0.0000)
Pu (0.6678, 0.3322, 0.0000)
Pu (0.8335, 0.1665, 0.5000)
U (0.5000, 0.5000, 0.5000)
S (0.0866, 0.4174, 0.2522)
S (0.2524, 0.2524, 0.7492)
S (0.4174, 0.0866, 0.2522)
S (0.5826, 0.9134, 0.7478)
S (0.7476, 0.7476, 0.2508)
S (0.9134, 0.5826, 0.7478)

* ΔE_f (raw): -1.680 eV/atom

KMo3Au: optimized geometry, GGA-PBE.

a = 5.0916 Å, b = 5.0916 Å, c = 5.0916 Å
α = 90.00°, β = 90.00°, γ = 90.00°
Fractional coordinates of all 5 atoms:
K (0.0000, 0.0000, 0.0000)
Mo (0.0000, 0.5000, 0.5000)
Mo (0.5000, 0.0000, 0.5000)
Mo (0.5000, 0.5000, 0.0000)
Au (0.5000, 0.5000, 0.5000)

* energy of formation: 2.258 eV per atom
* energy above the most stable polymorph in this dataset: 0.0000 eV/atom

CdSb2Pd8: optimized geometry, GGA-PBE.

a = 7.6892 Å, b = 7.6892 Å, c = 6.5471 Å
α = 110.05°, β = 110.05°, γ = 31.22°
Fractional coordinates of all 11 atoms:
Cd (0.0000, 0.0000, 0.0000)
Sb (0.2979, 0.2979, 0.3314)
Sb (0.7021, 0.7021, 0.6686)
Pd (0.0903, 0.0903, 0.4615)
Pd (0.1755, 0.1755, 0.9261)
Pd (0.3446, 0.3446, 0.7752)
Pd (0.4640, 0.4640, 0.2626)
Pd (0.5360, 0.5360, 0.7374)
Pd (0.6554, 0.6554, 0.2248)
Pd (0.8245, 0.8245, 0.0739)
Pd (0.9097, 0.9097, 0.5385)

* ΔE_f (raw): -0.364 eV/atom
* energy above the most stable polymorph in this dataset: 0.0278 eV/atom